Entry 1:
Compound: PrSmGdZr
Source: Alexandria
Functional: PBE
Structure: optimized geometry

## Properties
SG: F-43m (216)
Density of states at the Fermi level (states/eV/cell): 7.7
Volume (Å³ per cell): 123

a b c (Å): 5.5846 5.5846 5.5846
angles (deg): 60.00 60.00 60.00
Site moments in Bohr magnetons follow the coordinates.
Sites, in units of the cell vectors:
Pr 0.2500 0.2500 0.2500  0.07
Sm 0.5000 0.5000 0.5000  0.03
Zr 0.0000 0.0000 0.0000  0.64
Gd 0.7500 0.7500 0.7500  7.31

Entry 2:
Compound: PrGdSn
Source: Alexandria
Functional: PBE
Structure: optimized geometry

## Properties
SG: F-43m (216)
E above lowest polymorph (meV/atom): 65
Density of states at the Fermi level (states/eV/cell): 4.6
Volume (Å³ per cell): 104

a b c (Å): 5.2773 5.2773 5.2773
angles (deg): 60.00 60.00 60.00
Site moments in Bohr magnetons follow the coordinates.
Sites, in units of the cell vectors:
Gd 0.5000 0.5000 0.5000  -7.27
Sn 0.2500 0.2500 0.2500  0.06
Pr 0.0000 0.0000 0.0000  -0.22

Entry 3:
Compound: PrGd2Sn
Source: Alexandria
Functional: PBE
Structure: optimized geometry

## Properties
SG: Fm-3m (225)
E above lowest polymorph (meV/atom): 188
Density of states at the Fermi level (states/eV/cell): 6.1
Volume (Å³ per cell): 118

a b c (Å): 5.5116 5.5116 5.5116
angles (deg): 60.00 60.00 60.00
Site moments in Bohr magnetons follow the coordinates.
Sites, in units of the cell vectors:
Pr 0.0000 0.0000 0.0000  0.47
Gd 0.7500 0.7500 0.7500  7.31
Gd 0.2500 0.2500 0.2500  7.31
Sn 0.5000 0.5000 0.5000  -0.06

Entry 4:
Compound: PrGd2Sn
Source: Alexandria
Functional: PBE
Structure: optimized geometry

## Properties
SG: P4/mmm (123)
E above lowest polymorph (meV/atom): 109
Density of states at the Fermi level (states/eV/cell): 6.5
Volume (Å³ per cell): 122

a b c (Å): 4.1069 4.1069 7.2320
angles (deg): 90.00 90.00 90.00
Site moments in Bohr magnetons follow the coordinates.
Sites, in units of the cell vectors:
Pr 0.5000 0.5000 0.0000  0.21
Gd 0.0000 0.0000 0.7151  7.18
Gd 0.0000 0.0000 0.2849  7.18
Sn 0.5000 0.5000 0.5000  -0.04

Entry 5:
Compound: PrGdSn
Source: Alexandria
Functional: PBE
Structure: optimized geometry

## Properties
SG: P3m1 (156)
E above lowest polymorph (meV/atom): 271
Density of states at the Fermi level (states/eV/cell): 4.1
Volume (Å³ per cell): 85

a b c (Å): 3.3546 5.4021 5.4021
angles (deg): 120.00 90.00 90.00
Site moments in Bohr magnetons follow the coordinates.
Sites, in units of the cell vectors:
Sn 0.6656 0.6667 0.3333  -0.05
Gd 0.1626 0.3333 0.6667  7.27
Pr 0.1718 0.0000 0.0000  0.14

Entry 6:
Compound: PrGd2Sn
Source: Alexandria
Functional: PBE
Structure: optimized geometry

## Properties
SG: R-3m (166)
E above lowest polymorph (meV/atom): 387
Density of states at the Fermi level (states/eV/cell): 5.8
Volume (Å³ per cell): 128

a b c (Å): 3.5165 3.5165 12.0949
angles (deg): 81.64 81.64 60.00
Site moments in Bohr magnetons follow the coordinates.
Sites, in units of the cell vectors:
Sn 0.5000 0.5000 0.5000  0.01
Pr 0.0000 0.0000 0.0000  -0.20
Gd 0.9047 0.9047 0.2858  -7.36
Gd 0.0953 0.0953 0.7142  -7.36

Entry 7:
Compound: PrGdSn
Source: Alexandria
Functional: PBE
Structure: optimized geometry

## Properties
SG: I4mm (107)
E above lowest polymorph (meV/atom): 0
Density of states at the Fermi level (states/eV/cell): 3.3
Volume (Å³ per cell): 89

a b c (Å): 4.1808 4.1808 5.8758
angles (deg): 110.84 110.84 90.00
Site moments in Bohr magnetons follow the coordinates.
Sites, in units of the cell vectors:
Gd 0.0146 0.0146 0.0292  7.32
Pr 0.3222 0.3222 0.6443  0.26
Sn 0.6632 0.6632 0.3264  -0.05

Entry 8:
Compound: PrGd2Sn
Source: Alexandria
Functional: PBE
Structure: optimized geometry

## Properties
SG: P4/mmm (123)
E above lowest polymorph (meV/atom): 0
Density of states at the Fermi level (states/eV/cell): 4.3
Volume (Å³ per cell): 118

a b c (Å): 4.8793 4.9090 4.9090
angles (deg): 90.00 90.00 90.00
Site moments in Bohr magnetons follow the coordinates.
Sites, in units of the cell vectors:
Gd 0.0000 0.5000 0.0000  7.19
Gd 0.0000 0.0000 0.5000  7.19
Sn 0.5000 0.0000 0.0000  -0.06
Pr 0.5000 0.5000 0.5000  0.06

Entry 9:
Compound: TbPrGdSn
Source: Alexandria
Functional: PBE
Structure: optimized geometry

## Properties
SG: F-43m (216)
Density of states at the Fermi level (states/eV/cell): 4.6
Volume (Å³ per cell): 118

a b c (Å): 5.5128 5.5128 5.5128
angles (deg): 60.00 60.00 60.00
Site moments in Bohr magnetons follow the coordinates.
Sites, in units of the cell vectors:
Sn 0.2500 0.2500 0.2500  0.03
Pr 0.0000 0.0000 0.0000  -0.08
Tb 0.7500 0.7500 0.7500  -0.20
Gd 0.5000 0.5000 0.5000  -7.20

Entry 10:
Compound: PrGdZnSn
Source: Alexandria
Functional: PBE
Structure: optimized geometry

## Properties
SG: F-43m (216)
Density of states at the Fermi level (states/eV/cell): 3.2
Volume (Å³ per cell): 106

a b c (Å): 5.3166 5.3166 5.3166
angles (deg): 60.00 60.00 60.00
Site moments in Bohr magnetons follow the coordinates.
Sites, in units of the cell vectors:
Zn 0.7500 0.7500 0.7500  0.01
Sn 0.2500 0.2500 0.2500  0.05
Gd 0.0000 0.0000 0.0000  -7.08
Pr 0.5000 0.5000 0.5000  -0.04

Entry 11:
Compound: SrPr2Gd
Source: Alexandria
Functional: PBE
Structure: optimized geometry

## Properties
SG: Fm-3m (225)
E above lowest polymorph (meV/atom): 112
Density of states at the Fermi level (states/eV/cell): 8.5
Volume (Å³ per cell): 153

a b c (Å): 6.0016 6.0016 6.0016
angles (deg): 60.00 60.00 60.00
Site moments in Bohr magnetons follow the coordinates.
Sites, in units of the cell vectors:
Gd 0.0000 0.0000 0.0000  7.31
Sr 0.5000 0.5000 0.5000  0.02
Pr 0.7500 0.7500 0.7500  0.14
Pr 0.2500 0.2500 0.2500  0.14

Entry 12:
Compound: SrPr2Gd
Source: Alexandria
Functional: PBE
Structure: optimized geometry

## Properties
SG: R-3m (166)
E above lowest polymorph (meV/atom): 98
Density of states at the Fermi level (states/eV/cell): 6.7
Volume (Å³ per cell): 156

a b c (Å): 3.6972 3.6972 13.3530
angles (deg): 82.04 82.04 60.00
Site moments in Bohr magnetons follow the coordinates.
Sites, in units of the cell vectors:
Gd 0.5000 0.5000 0.5000  7.12
Pr 0.0929 0.0929 0.7213  -0.06
Pr 0.9071 0.9071 0.2787  -0.06
Sr 0.0000 0.0000 0.0000  0.00

| no. | formation enthalpy at 0 K (kJ/mol of formula units) |
| --- | --- |
| 1 | 87 |
| 2 | -126 |
| 3 | -102 |
| 4 | -133 |
| 5 | -66 |
| 6 | -26 |
| 7 | -145 |
| 8 | -175 |
| 9 | -102 |
| 10 | -198 |
| 11 | 73 |
| 12 | 67 |